Entry 1:
The following is a PBE-GGA calculation of a relaxed Ac2GeO5 crystal, from the Alexandria database.

Cell and atoms, written as POSCAR:
```
Ac2GeO5
1.0
-1.410 -5.356 1.821
5.096 -0.387 2.805
-3.477 4.382 0.862
O Ac Ge
5 2 1
Direct
0.253 0.810 0.063
0.810 0.810 0.063
0.748 0.748 0.496
0.810 0.253 0.063
0.253 0.253 0.063
0.714 0.214 0.429
0.214 0.714 0.429
0.974 0.974 0.948
```

Properties
Total magnetic moment   0.0 μB per cell
Formation energy from raw total energies   -2.6216 eV/atom
Space-group type   I4mm, No. 107

Entry 2:
The following is a PBE-GGA calculation of a relaxed AcGeO2 crystal, from the Alexandria database.

Cell and atoms, written as POSCAR:
```
AcGeO2
1.0
-3.593 0.001 -0.749
-2.412 -1.002 2.578
-2.436 6.079 2.696
Ac O Ge
1 2 1
Direct
0.000 0.000 0.000
0.886 0.886 0.342
0.114 0.114 0.658
0.500 0.500 0.500
```

Properties
Total magnetic moment   0.0 μB per cell
Formation energy from raw total energies   -1.1003 eV/atom
Space-group type   R-3m, No. 166

Entry 3:
The following is a PBE-GGA calculation of a relaxed Ac3Ge2O8 crystal, from the Alexandria database.

Cell and atoms, written as POSCAR:
```
Ac3Ge2O8
1.0
-3.792 4.122 1.387
-3.888 1.767 -3.880
-6.968 -2.843 1.398
O Ac Ge
8 3 2
Direct
0.735 0.735 0.306
0.679 0.679 0.963
0.265 0.265 0.694
0.735 0.224 0.306
0.265 0.776 0.694
0.776 0.265 0.694
0.224 0.735 0.306
0.321 0.321 0.037
0.794 0.794 0.617
0.000 0.000 0.000
0.206 0.206 0.383
0.593 0.593 0.221
0.407 0.407 0.779
```

Properties
Total magnetic moment   0.0 μB per cell
Formation energy from raw total energies   -2.5418 eV/atom
Space-group type   R-3m, No. 166

Entry 4:
The following is a PBE-GGA calculation of a relaxed Ac4Ge6O19 crystal, from the Alexandria database.

Cell and atoms, written as POSCAR:
```
Ac4Ge6O19
1.0
7.398 0.000 -2.616
-3.699 6.407 -2.616
0.000 0.000 7.847
O Ge Ac
19 6 4
Direct
0.000 0.644 0.644
0.258 0.629 0.308
0.000 0.356 0.356
0.371 0.742 0.050
0.000 0.000 0.000
0.050 0.371 0.742
0.308 0.258 0.629
0.629 0.679 0.371
0.356 0.000 0.356
0.644 0.000 0.644
0.950 0.692 0.321
0.356 0.356 0.000
0.321 0.950 0.692
0.629 0.308 0.258
0.692 0.321 0.950
0.679 0.371 0.629
0.371 0.629 0.679
0.644 0.644 0.000
0.742 0.050 0.371
0.500 0.159 0.659
0.159 0.659 0.500
0.341 0.500 0.841
0.841 0.341 0.500
0.659 0.500 0.159
0.500 0.841 0.341
0.000 0.000 0.673
0.000 0.673 0.000
0.327 0.327 0.327
0.673 0.000 0.000
```

Properties
Total magnetic moment   2.2 μB per cell
Formation energy from raw total energies   -2.2433 eV/atom
Space-group type   I23, No. 197

Entry 5:
The following is a PBE-GGA calculation of a relaxed Ac2GeO6 crystal, from the Alexandria database.

Cell and atoms, written as POSCAR:
```
Ac2GeO6
1.0
-3.391 -2.535 -1.004
0.394 -2.507 4.999
-2.825 2.042 4.391
O Ac Ge
6 2 1
Direct
0.767 0.665 0.167
0.233 0.833 0.833
0.233 0.335 0.833
0.767 0.167 0.665
0.233 0.833 0.335
0.767 0.167 0.167
0.273 0.333 0.333
0.727 0.667 0.667
0.000 0.000 0.000
```

Properties
Total magnetic moment   2.0 μB per cell
Formation energy from raw total energies   -2.2818 eV/atom
Space-group type   P-3m1, No. 164

Entry 6:
The following is a PBE-GGA calculation of a relaxed AcGeO3 crystal, from the Alexandria database.

Cell and atoms, written as POSCAR:
```
AcGeO3
1.0
7.161 0.000 0.000
0.000 7.122 0.668
0.000 -2.965 6.585
O Ac Ge
12 4 4
Direct
0.575 0.121 0.204
0.604 0.411 0.639
0.396 0.589 0.361
0.231 0.591 0.002
0.731 0.909 0.498
0.769 0.409 0.998
0.075 0.379 0.296
0.269 0.091 0.502
0.896 0.911 0.139
0.425 0.879 0.796
0.104 0.089 0.861
0.925 0.621 0.704
0.754 0.040 0.867
0.246 0.960 0.133
0.746 0.540 0.367
0.254 0.460 0.633
0.263 0.437 0.152
0.737 0.563 0.848
0.763 0.063 0.348
0.237 0.937 0.652
```

Properties
Total magnetic moment   0.0 μB per cell
Formation energy from raw total energies   -2.2699 eV/atom
Space-group type   P2_1/c, No. 14

Entry 7:
The following is a PBE-GGA calculation of a relaxed AcGe2PO8 crystal, from the Alexandria database.

Cell and atoms, written as POSCAR:
```
AcGe2PO8
1.0
-3.998 -0.119 2.488
-3.626 -2.609 -1.493
0.089 -6.821 4.275
O P Ge Ac
8 1 2 1
Direct
0.255 0.829 0.349
0.829 0.568 0.349
0.171 0.745 0.651
0.745 0.432 0.651
0.432 0.171 0.651
0.568 0.255 0.349
0.690 0.690 0.931
0.310 0.310 0.069
0.500 0.500 0.500
0.767 0.767 0.700
0.233 0.233 0.300
0.000 0.000 0.000
```

Properties
Total magnetic moment   0.0 μB per cell
Formation energy from raw total energies   -1.7792 eV/atom
Space-group type   R32, No. 155

Entry 8:
The following is a PBE-GGA calculation of a relaxed Ac5Ge2PO crystal, from the Alexandria database.

Cell and atoms, written as POSCAR:
```
Ac5Ge2PO
1.0
-4.452 -0.580 0.341
3.045 -0.502 9.167
-1.618 13.163 1.259
P Ge Ac O
2 4 10 2
Direct
0.199 0.399 0.009
0.801 0.601 0.509
0.867 0.733 0.820
0.133 0.267 0.320
0.112 0.224 0.694
0.888 0.776 0.194
0.307 0.614 0.355
0.693 0.386 0.855
0.963 0.926 0.523
0.639 0.277 0.509
0.037 0.074 0.023
0.297 0.595 0.667
0.506 0.013 0.282
0.361 0.723 0.009
0.494 0.987 0.782
0.703 0.405 0.167
0.499 0.999 0.465
0.501 0.001 0.965
```

Properties
Total magnetic moment   1.7 μB per cell
Formation energy from raw total energies   -1.2448 eV/atom
Space-group type   Cmc2_1, No. 36

Entry 9:
The following is a PBE-GGA calculation of a relaxed AcPaGe2O8 crystal, from the Alexandria database.

Cell and atoms, written as POSCAR:
```
AcPaGe2O8
1.0
-3.682 4.351 2.321
1.548 -4.528 3.870
5.242 2.812 -1.578
O Ge Ac Pa
8 2 1 1
Direct
0.471 0.665 0.806
0.335 0.140 0.806
0.942 0.611 0.670
0.389 0.058 0.330
0.728 0.058 0.670
0.942 0.272 0.330
0.335 0.529 0.194
0.860 0.665 0.194
0.500 0.500 0.000
0.750 0.250 0.500
0.000 0.000 0.000
0.250 0.750 0.500
```

Properties
Total magnetic moment   0.0 μB per cell
Formation energy from raw total energies   -2.6076 eV/atom
Space-group type   I-4m2, No. 119

Entry 10:
The following is a PBE-GGA calculation of a relaxed Ac2PaGeO8 crystal, from the Alexandria database.

Cell and atoms, written as POSCAR:
```
Ac2PaGeO8
1.0
0.103 -1.194 -4.013
-3.622 -3.983 1.788
-5.392 5.677 -2.354
O Ac Ge Pa
8 2 1 1
Direct
0.448 0.220 0.470
0.552 0.780 0.530
0.943 0.291 0.686
0.045 0.842 0.785
0.325 0.232 0.971
0.057 0.709 0.314
0.675 0.768 0.029
0.955 0.158 0.215
0.524 0.476 0.248
0.476 0.524 0.752
0.000 0.000 0.000
0.000 0.000 0.500
```

Properties
Total magnetic moment   1.0 μB per cell
Formation energy from raw total energies   -2.7419 eV/atom
Space-group type   P-1, No. 2

Entry 11:
The following is a PBE-GGA calculation of a relaxed Ac3GePbO crystal, from the Alexandria database.

Cell and atoms, written as POSCAR:
```
Ac3GePbO
1.0
4.450 0.000 0.000
0.000 9.848 0.831
0.000 -2.916 9.554
Ac Ge O Pb
6 2 2 2
Direct
0.250 0.113 0.845
0.250 0.571 0.839
0.250 0.836 0.480
0.750 0.429 0.161
0.750 0.887 0.155
0.750 0.164 0.520
0.250 0.659 0.164
0.750 0.341 0.836
0.250 0.081 0.591
0.750 0.919 0.409
0.250 0.180 0.226
0.750 0.820 0.774
```

Properties
Total magnetic moment   0.0 μB per cell
Formation energy from raw total energies   -1.3258 eV/atom
Space-group type   P2_1/m, No. 11

Entry 12:
The following is a PBE-GGA calculation of a relaxed AcGePdO6 crystal, from the Alexandria database.

Cell and atoms, written as POSCAR:
```
AcGePdO6
1.0
5.186 0.000 0.000
2.593 4.491 0.000
0.000 0.000 5.406
Ge Ac O Pd
1 1 6 1
Direct
0.333 0.333 0.500
0.000 0.000 0.000
0.012 0.370 0.298
0.618 0.012 0.298
0.370 0.618 0.298
0.618 0.370 0.702
0.370 0.012 0.702
0.012 0.618 0.702
0.667 0.667 0.500
```

Properties
Total magnetic moment   1.0 μB per cell
Formation energy from raw total energies   -1.6285 eV/atom
Space-group type   P312, No. 149

Entry 13:
The following is a PBE-GGA calculation of a relaxed Ac2Pm4Ge3O2 crystal, from the Alexandria database.

Cell and atoms, written as POSCAR:
```
Ac2Pm4Ge3O2
1.0
-0.347 1.434 4.525
-3.960 -2.588 0.516
9.119 -9.347 1.159
Ge O Ac Pm
3 2 2 4
Direct
0.000 0.000 0.000
0.831 0.831 0.661
0.169 0.169 0.339
0.405 0.405 0.811
0.595 0.595 0.189
0.696 0.696 0.392
0.304 0.304 0.608
0.077 0.577 0.154
0.923 0.423 0.846
0.423 0.923 0.846
0.577 0.077 0.154
```

Properties
Total magnetic moment   0.0 μB per cell
Formation energy from raw total energies   -1.5185 eV/atom
Space-group type   I4/mmm, No. 139

Entry 14:
The following is a PBE-GGA calculation of a relaxed AcPrGeO crystal, from the Alexandria database.

Cell and atoms, written as POSCAR:
```
AcPrGeO
1.0
-0.296 -4.237 2.015
3.942 0.870 2.408
-5.041 3.649 6.934
Pr Ac Ge O
2 2 2 2
Direct
0.500 0.500 0.500
0.000 0.000 0.500
0.000 0.500 0.157
0.500 0.000 0.843
0.000 0.500 0.784
0.500 0.000 0.216
0.000 0.500 0.421
0.500 0.000 0.579
```

Properties
Total magnetic moment   0.0 μB per cell
Formation energy from raw total energies   -1.7786 eV/atom
Space-group type   P4/nmm, No. 129

Entry 15:
The following is a PBE-GGA calculation of a relaxed AcPrGeO5 crystal, from the Alexandria database.

Cell and atoms, written as POSCAR:
```
AcPrGeO5
1.0
6.180 -0.090 0.108
-1.890 5.885 0.108
-1.652 -2.232 7.356
O Ge Pr Ac
10 2 2 2
Direct
0.582 0.722 0.917
0.722 0.582 0.417
0.113 0.887 0.250
0.086 0.660 0.858
0.914 0.340 0.142
0.278 0.418 0.583
0.340 0.914 0.642
0.418 0.278 0.083
0.660 0.086 0.358
0.887 0.113 0.750
0.680 0.320 0.250
0.320 0.680 0.750
0.000 0.000 0.500
0.000 0.000 0.000
0.660 0.340 0.750
0.340 0.660 0.250
```

Properties
Total magnetic moment   0.0 μB per cell
Formation energy from raw total energies   -2.7459 eV/atom
Space-group type   C2/c, No. 15

Entry 16:
The following is a PBE-GGA calculation of a relaxed Ac2Pr4Ge3O2 crystal, from the Alexandria database.

Cell and atoms, written as POSCAR:
```
Ac2Pr4Ge3O2
1.0
-2.119 -1.810 3.941
4.332 -0.674 2.019
-1.654 12.949 2.102
Ge O Ac Pr
3 2 2 4
Direct
0.829 0.829 0.658
0.171 0.171 0.342
0.000 0.000 0.000
0.401 0.401 0.802
0.599 0.599 0.198
0.696 0.696 0.393
0.304 0.304 0.607
0.923 0.423 0.846
0.577 0.077 0.154
0.423 0.923 0.846
0.077 0.577 0.154
```

Properties
Total magnetic moment   0.0 μB per cell
Formation energy from raw total energies   -1.4770 eV/atom
Space-group type   I4/mmm, No. 139

Entry 17:
The following is a PBE-GGA calculation of a relaxed Ac4Pr2Ge3O2 crystal, from the Alexandria database.

Cell and atoms, written as POSCAR:
```
Ac4Pr2Ge3O2
1.0
5.002 0.000 0.000
0.000 5.002 0.000
-2.501 -2.501 12.642
Pr Ac O Ge
2 4 2 3
Direct
0.296 0.296 0.593
0.704 0.704 0.407
0.417 0.917 0.835
0.917 0.417 0.835
0.083 0.583 0.165
0.583 0.083 0.165
0.393 0.393 0.786
0.607 0.607 0.214
0.000 0.000 0.000
0.176 0.176 0.353
0.824 0.824 0.647
```

Properties
Total magnetic moment   0.0 μB per cell
Formation energy from raw total energies   -1.3275 eV/atom
Space-group type   I4/mmm, No. 139

Entry 18:
The following is a PBE-GGA calculation of a relaxed AcGePt2O8 crystal, from the Alexandria database.

Cell and atoms, written as POSCAR:
```
AcGePt2O8
1.0
-3.736 0.954 -3.556
1.314 -4.943 1.161
-4.833 -0.099 5.052
O Pt Ac Ge
8 2 1 1
Direct
0.270 0.294 0.329
0.976 0.270 0.671
0.706 0.976 0.329
0.667 0.333 0.047
0.294 0.024 0.671
0.333 0.667 0.953
0.730 0.706 0.671
0.024 0.730 0.329
0.667 0.333 0.321
0.333 0.667 0.679
0.000 0.000 0.000
0.000 0.000 0.500
```

Properties
Total magnetic moment   3.0 μB per cell
Formation energy from raw total energies   -0.8597 eV/atom
Space-group type   P-3, No. 147

Entry 19:
The following is a PBE-GGA calculation of a relaxed Ac2PuGeO8 crystal, from the Alexandria database.

Cell and atoms, written as POSCAR:
```
Ac2PuGeO8
1.0
-1.480 4.083 3.670
-3.728 -1.811 -3.892
-2.010 -4.229 3.894
Pu O Ac Ge
1 8 2 1
Direct
0.000 0.000 0.500
0.305 0.152 0.807
0.848 0.695 0.807
0.848 0.152 0.807
0.152 0.305 0.193
0.667 0.333 0.482
0.333 0.667 0.518
0.695 0.848 0.193
0.152 0.848 0.193
0.667 0.333 0.132
0.333 0.667 0.868
0.000 0.000 0.000
```

Properties
Total magnetic moment   5.9 μB per cell
Formation energy from raw total energies   -2.0965 eV/atom
Space-group type   P-3m1, No. 164

Entry 20:
The following is a PBE-GGA calculation of a relaxed AcPuGeO6 crystal, from the Alexandria database.

Cell and atoms, written as POSCAR:
```
AcPuGeO6
1.0
-3.775 -1.321 -3.639
-5.003 -1.252 1.626
-1.428 5.187 -0.401
O Ac Pu Ge
6 1 1 1
Direct
0.618 0.354 0.706
0.027 0.618 0.706
0.354 0.618 0.294
0.354 0.027 0.706
0.618 0.027 0.294
0.027 0.354 0.294
0.000 0.000 0.000
0.667 0.667 0.500
0.333 0.333 0.500
```

Properties
Total magnetic moment   3.0 μB per cell
Formation energy from raw total energies   -2.5574 eV/atom
Space-group type   P312, No. 149